No. 1
Compound: AcPrNpN4
Source: the Alexandria database
Functional: GGA-PBE
Structure: optimized geometry

The space group is I4mm (No. 107) and the conventional cell measures 4.2345, 4.2345 and 13.1099 Å, with angles of 90.00, 90.00 and 90.00 degrees. Symmetry generates all atoms from Ac at (0.0000, 0.0000, 0.0000), Pr at (0.0000, 0.0000, 0.7055), Np at (0.0000, 0.0000, 0.3495), N at (0.0000, 0.0000, 0.1862), N at (0.0000, 0.0000, 0.5205) and N at (0.0000, 0.5000, 0.3447).

For the density of states at the Fermi level, the calculation gives 5.60 states/eV per cell. The uncorrected formation energy comes out at -1.18 eV per atom.



No. 2
Compound: RbGe3P
Source: the Alexandria database
Functional: GGA-PBE
Structure: optimized geometry

The space group is Pc (No. 7) and the conventional cell measures 5.3852, 8.7653 and 8.1181 Å, with angles of 90.00, 131.34 and 90.00 degrees. Symmetry generates all atoms from Rb at (0.0000, 0.0889, 0.0000), Ge at (0.2627, 0.3374, 0.7409), Ge at (0.6569, 0.2599, 0.4994), Ge at (0.7782, 0.3373, 0.2559) and P at (0.3634, 0.4719, 0.4992).

For the energy above the most stable polymorph in this dataset, the calculation gives 0 meV/atom. The calculation puts the formation energy at 0.863 kcal/mol of atoms. For the density of states at the Fermi level, the calculation gives 1.14 states/eV per cell.



No. 3
Compound: CsRb2InAg
Source: the Alexandria database
Functional: GGA-PBE
Structure: optimized geometry

The space group is P4/mmm (No. 123) and the conventional cell measures 7.0149, 7.0149 and 5.4747 Å, with angles of 90.00, 90.00 and 90.00 degrees. Symmetry generates all atoms from Cs at (0.0000, 0.0000, 0.0000), Rb at (0.0000, 0.5000, 0.5000), In at (0.5000, 0.5000, 0.0000) and Ag at (0.5000, 0.5000, 0.5000).

For the energy above the most stable polymorph in this dataset, the calculation gives 0 meV/atom. The calculation puts the formation energy at 1.377 kcal/mol of atoms. For the density of states at the Fermi level, the calculation gives 4.30 states/eV per cell.



No. 4
Compound: DyNpAg2O6
Source: the Alexandria database
Functional: GGA-PBE
Structure: optimized geometry

The space group is P2_1/c (No. 14) and the conventional cell measures 5.7752, 5.9154 and 10.1228 Å, with angles of 90.00, 124.54 and 90.00 degrees. Symmetry generates all atoms from Dy at (0.0000, 0.0000, 0.0000), Np at (0.5000, 0.0000, 0.5000), Ag at (0.2558, 0.0250, 0.7528), O at (0.1686, 0.0342, 0.2636), O at (0.2620, 0.6846, 0.0509) and O at (0.3714, 0.2112, 0.0497).

The uncorrected formation energy comes out at -2.05 eV per atom.



Which E_tot belongs to each record? In order, -9.055 -4.008 -1.616 -7.346 eV/atom.
Which total moment belongs to each record? In order, 0.143 0.000 0.000 0.000 μB/atom.